# SCAN Nb2SiAsP, PBEsol geometry
# final energy = -20.64 eV/atom
# D(E_F) = 4.68 states/eV/cell
# formation energy without anion corrections = 71.0 kJ per mole of atoms
data_Nb2SiAsP
_symmetry_space_group_name_H-M 'P 1'
_symmetry_Int_Tables_number 1
_cell_length_a 4.672
_cell_length_b 4.672
_cell_length_c 4.384
_cell_angle_alpha 90.00
_cell_angle_beta 90.00
_cell_angle_gamma 90.00
loop_
_symmetry_equiv_pos_as_xyz
'x,y,z'
loop_
_atom_site_label
_atom_site_type_symbol
_atom_site_fract_x
_atom_site_fract_y
_atom_site_fract_z
Nb1 Nb 0.000 0.500 0.000
Nb2 Nb 0.500 0.000 0.000
Si1 Si 0.000 0.000 0.500
As1 As 0.500 0.500 0.500
P1 P 0.500 0.500 0.000

# SCAN Nb3AsPb, PBEsol geometry
# final energy = -38.52 eV/atom
# D(E_F) = 5.65 states/eV/cell
# DFT formation energy = 2.8 eV/f.u.
data_Nb3AsPb
_symmetry_space_group_name_H-M 'P 1'
_symmetry_Int_Tables_number 1
_cell_length_a 4.757
_cell_length_b 4.757
_cell_length_c 4.757
_cell_angle_alpha 90.00
_cell_angle_beta 90.00
_cell_angle_gamma 90.00
loop_
_symmetry_equiv_pos_as_xyz
'x,y,z'
loop_
_atom_site_label
_atom_site_type_symbol
_atom_site_fract_x
_atom_site_fract_y
_atom_site_fract_z
Nb1 Nb 0.000 0.000 0.500
Nb2 Nb 0.000 0.500 0.000
Nb3 Nb 0.500 0.000 0.000
As1 As 0.000 0.000 0.000
Pb1 Pb 0.500 0.500 0.500